The following is a PBE calculation of crystalline Li6TlBi2 at its relaxed geometry, from Alexandria.

The space group is C2/m (No. 12) and the conventional cell measures 11.0505, 8.1204 and 4.9232 Å, with angles of 90.00, 115.49 and 90.00 degrees. The distinct sites, in fractional coordinates, are Li at (0.0000, 0.2081, 0.0000), Li at (0.1727, 0.3129, 0.6724), Tl at (0.0000, 0.0000, 0.5000) and Bi at (0.1732, 0.5000, 0.1728).

For the theoretical density, the calculation gives 5.53 g cm⁻³. As for the calculated total energy: -2.73 eV per atom. The density of states at the Fermi level is 7.39 states/eV/cell.